Record 1
Compound: Pm4Pr2Sn3O2
Source: Alexandria
Functional: GGA-PBE
Structure: optimized geometry

a b c (Å): 4.798 4.798 13.442
angles (deg): 100.28 100.28 90.00
Fractional coordinates of all 11 atoms:
Pr: 0.695 0.695 0.389
Pr: 0.305 0.305 0.611
Pm: 0.418 0.918 0.836
Pm: 0.082 0.582 0.164
Pm: 0.918 0.418 0.836
Pm: 0.582 0.082 0.164
O: 0.598 0.598 0.196
O: 0.402 0.402 0.804
Sn: 0.176 0.176 0.353
Sn: 0.000 0.000 0.000
Sn: 0.824 0.824 0.647

Output
ρ, g/cm3: 6.933
Raw total energy, eV for the cell shown: -66.921
Total moment, μB/atom: 0.000
Energy relative to the elements, uncorrected, eV per formula unit: -16.43
Symmetry: I4/mmm
DOS at the Fermi energy, states/eV/cell: 6.63

---

Record 2
Compound: Pm2PrTaO8
Source: Alexandria
Functional: GGA-PBE
Structure: optimized geometry

a b c (Å): 3.954 5.498 7.542
angles (deg): 90.00 90.00 89.97
Site moments in Bohr magnetons follow the coordinates.
Fractional coordinates of all 12 atoms:
O: 0.500 0.818 0.000  0.49
O: 0.500 0.257 0.500  0.10
O: 0.000 0.240 0.208  0.10
O: 0.500 0.743 0.500  0.10
O: 0.000 0.760 0.208  0.10
O: 0.500 0.182 0.000  0.49
O: 0.000 0.240 0.792  0.10
O: 0.000 0.760 0.792  0.10
Pm: 0.500 0.500 0.252  0.01
Pm: 0.500 0.500 0.748  0.01
Pr: 0.000 0.000 0.500  -0.01
Ta: 0.000 0.000 0.000  -0.04

Output
ρ, g/cm3: 7.493
Raw total energy, eV for the cell shown: -99.630
Total moment, μB/atom: 0.155
Energy relative to the elements, uncorrected, eV per formula unit: -33.83
Symmetry: Pmmm
DOS at the Fermi energy, states/eV/cell: 6.33

---

Record 3
Compound: PmPrTc2O8
Source: Alexandria
Functional: GGA-PBE
Structure: optimized geometry

a b c (Å): 5.327 5.327 6.927
angles (deg): 112.61 112.61 90.00
Site moments in Bohr magnetons follow the coordinates.
Fractional coordinates of all 12 atoms:
O: 0.008 0.414 0.330  0.10
O: 0.422 0.333 0.167  0.09
O: 0.321 0.916 0.330  0.10
O: 0.166 0.578 0.833  0.09
O: 0.084 0.992 0.670  0.10
O: 0.745 0.834 0.167  0.09
O: 0.667 0.255 0.833  0.09
O: 0.586 0.679 0.670  0.10
Tc: 0.500 0.500 0.000  1.38
Tc: 0.250 0.750 0.500  1.38
Pr: 0.750 0.250 0.500  0.06
Pm: 0.000 0.000 0.000  0.06

Output
ρ, g/cm3: 6.139
Raw total energy, eV for the cell shown: -96.404
Total moment, μB/atom: 0.336
Energy relative to the elements, uncorrected, eV per formula unit: -26.48
Symmetry: I-4
DOS at the Fermi energy, states/eV/cell: 0.43

---

Record 4
Compound: Pm2PrTcO8
Source: Alexandria
Functional: GGA-PBE
Structure: optimized geometry

a b c (Å): 5.190 5.189 6.989
angles (deg): 90.00 90.00 89.83
Fractional coordinates of all 12 atoms:
Pm: 0.500 0.500 0.752
Pm: 0.500 0.500 0.248
O: 0.179 0.820 0.200
O: 0.742 0.743 0.000
O: 0.313 0.312 0.500
O: 0.821 0.180 0.200
O: 0.821 0.180 0.800
O: 0.687 0.688 0.500
O: 0.179 0.820 0.800
O: 0.258 0.257 0.000
Tc: 0.000 0.000 0.000
Pr: 0.000 0.000 0.500

Output
ρ, g/cm3: 5.795
Raw total energy, eV for the cell shown: -94.544
Total moment, μB/atom: 0.000
Energy relative to the elements, uncorrected, eV per formula unit: -30.23
Symmetry: Cmmm

---

Record 5
Compound: PmPrTe2O8
Source: Alexandria
Functional: GGA-PBE
Structure: optimized geometry

a b c (Å): 6.411 6.411 6.411
angles (deg): 107.22 107.22 114.08
Fractional coordinates of all 12 atoms:
O: 0.305 0.124 0.819
O: 0.945 0.260 0.315
O: 0.370 0.055 0.315
O: 0.740 0.055 0.685
O: 0.514 0.695 0.819
O: 0.305 0.486 0.181
O: 0.945 0.630 0.685
O: 0.876 0.695 0.181
Te: 0.750 0.250 0.500
Te: 0.500 0.500 0.000
Pr: 0.250 0.750 0.500
Pm: 0.000 0.000 0.000

Output
ρ, g/cm3: 5.505
Raw total energy, eV for the cell shown: -78.424
Total moment, μB/atom: 0.000
Energy relative to the elements, uncorrected, eV per formula unit: -22.95
Symmetry: I-4m2
DOS at the Fermi energy, states/eV/cell: 2.40

---

Record 6
Compound: PmPrTe2O
Source: Alexandria
Functional: GGA-PBE
Structure: optimized geometry

a b c (Å): 4.245 4.245 16.423
angles (deg): 90.00 90.00 90.00
Fractional coordinates of all 10 atoms:
Pr: 0.500 0.000 0.140
Pr: 0.000 0.500 0.860
Pm: 0.500 0.000 0.565
Pm: 0.000 0.500 0.435
O: 0.000 0.000 0.500
O: 0.500 0.500 0.500
Te: 0.500 0.000 0.321
Te: 0.000 0.500 0.679
Te: 0.500 0.000 0.919
Te: 0.000 0.500 0.081

Output
ρ, g/cm3: 6.253
Raw total energy, eV for the cell shown: -62.136
Total moment, μB/atom: 0.000
Energy relative to the elements, uncorrected, eV per formula unit: -10.30
Symmetry: P4/nmm
DOS at the Fermi energy, states/eV/cell: 3.42

---

Record 7
Compound: PmPrTeO2
Source: Alexandria
Functional: GGA-PBE
Structure: optimized geometry

a b c (Å): 4.206 7.032 8.100
angles (deg): 106.26 90.00 90.00
Fractional coordinates of all 10 atoms:
O: 0.750 0.501 0.375
O: 0.250 0.499 0.625
O: 0.750 0.518 0.879
O: 0.250 0.482 0.121
Te: 0.250 0.051 0.766
Te: 0.750 0.949 0.234
Pm: 0.250 0.668 0.921
Pm: 0.750 0.332 0.079
Pr: 0.250 0.672 0.412
Pr: 0.750 0.328 0.588

Output
ρ, g/cm3: 6.434
Raw total energy, eV for the cell shown: -73.930
Total moment, μB/atom: 0.000
Energy relative to the elements, uncorrected, eV per formula unit: -14.38
Symmetry: P2_1/m
DOS at the Fermi energy, states/eV/cell: 0.00

---

Record 8
Compound: PmPrTeO6
Source: Alexandria
Functional: GGA-PBE
Structure: optimized geometry

a b c (Å): 5.733 5.733 9.752
angles (deg): 90.00 90.00 120.00
Fractional coordinates of all 18 atoms:
O: 0.619 0.671 0.637
O: 0.329 0.948 0.637
O: 0.948 0.619 0.363
O: 0.381 0.052 0.137
O: 0.329 0.381 0.863
O: 0.381 0.329 0.363
O: 0.052 0.671 0.863
O: 0.671 0.052 0.363
O: 0.948 0.329 0.137
O: 0.671 0.619 0.137
O: 0.052 0.381 0.637
O: 0.619 0.948 0.863
Pm: 0.333 0.667 0.250
Pm: 0.667 0.333 0.750
Pr: 0.000 0.000 0.500
Pr: 0.000 0.000 0.000
Te: 0.667 0.333 0.250
Te: 0.333 0.667 0.750

Output
ρ, g/cm3: 6.097
Raw total energy, eV for the cell shown: -127.393
Total moment, μB/atom: 0.000
Energy relative to the elements, uncorrected, eV per formula unit: -21.28
Symmetry: P-31c
DOS at the Fermi energy, states/eV/cell: 0.00

---

Record 9
Compound: Pm12PrTl4O3
Source: Alexandria
Functional: GGA-PBE
Structure: optimized geometry

a b c (Å): 8.857 8.857 8.857
angles (deg): 109.47 109.47 109.47
Site moments in Bohr magnetons follow the coordinates.
Fractional coordinates of all 20 atoms:
Tl: 0.000 0.500 0.000  0.00
Tl: 0.500 0.500 0.500  0.00
Tl: 0.000 0.000 0.500  0.00
Tl: 0.500 0.000 0.000  0.00
Pm: 0.726 0.726 0.000  0.08
Pm: 0.500 0.250 0.750  0.01
Pm: 0.500 0.750 0.250  0.01
Pm: 0.250 0.750 0.500  0.01
Pm: 0.250 0.500 0.750  0.01
Pm: 0.000 0.726 0.726  0.08
Pm: 0.274 0.000 0.274  0.08
Pm: 0.274 0.274 0.000  0.08
Pm: 0.750 0.250 0.500  0.01
Pm: 0.726 0.000 0.726  0.08
Pm: 0.000 0.274 0.274  0.08
Pm: 0.750 0.500 0.250  0.01
O: 0.000 0.500 0.500  0.00
O: 0.500 0.000 0.500  0.00
O: 0.500 0.500 0.000  0.00
Pr: 0.000 0.000 0.000  0.43

Output
ρ, g/cm3: 8.527
Raw total energy, eV for the cell shown: -100.974
Total moment, μB/atom: 0.060
Energy relative to the elements, uncorrected, eV per formula unit: -14.85
Symmetry: Im-3m
DOS at the Fermi energy, states/eV/cell: 20.20

---

Record 10
Compound: PmPr2TlO
Source: Alexandria
Functional: GGA-PBE
Structure: optimized geometry

a b c (Å): 4.937 5.041 5.041
angles (deg): 90.00 90.00 90.00
Fractional coordinates of all 5 atoms:
Pm: 0.500 0.000 0.000
Pr: 0.000 0.500 0.000
Pr: 0.000 0.000 0.500
Tl: 0.500 0.500 0.500
O: 0.000 0.000 0.000

Output
ρ, g/cm3: 8.566
Raw total energy, eV for the cell shown: -28.342
Total moment, μB/atom: 0.000
Energy relative to the elements, uncorrected, eV per formula unit: -6.71
Symmetry: P4/mmm
DOS at the Fermi energy, states/eV/cell: 1.72

---

Record 11
Compound: PmPr12Tl4O3
Source: Alexandria
Functional: GGA-PBE
Structure: optimized geometry

a b c (Å): 8.990 8.990 8.990
angles (deg): 109.47 109.47 109.47
Site moments in Bohr magnetons follow the coordinates.
Fractional coordinates of all 20 atoms:
Pr: 0.750 0.250 0.500  0.01
Pr: 0.250 0.750 0.500  0.01
Pr: 0.250 0.500 0.750  0.01
Pr: 0.273 0.273 0.000  0.05
Pr: 0.750 0.500 0.250  0.01
Pr: 0.000 0.727 0.727  0.05
Pr: 0.500 0.750 0.250  0.01
Pr: 0.273 0.000 0.273  0.05
Pr: 0.727 0.000 0.727  0.05
Pr: 0.500 0.250 0.750  0.01
Pr: 0.727 0.727 0.000  0.05
Pr: 0.000 0.273 0.273  0.05
Tl: 0.000 0.500 0.000  0.00
Tl: 0.500 0.000 0.000  0.00
Tl: 0.000 0.000 0.500  0.00
Tl: 0.500 0.500 0.500  0.00
O: 0.500 0.000 0.500  0.00
O: 0.500 0.500 0.000  0.00
O: 0.000 0.500 0.500  0.00
Pm: 0.000 0.000 0.000  0.30

Output
ρ, g/cm3: 8.020
Raw total energy, eV for the cell shown: -101.159
Total moment, μB/atom: 0.041
Energy relative to the elements, uncorrected, eV per formula unit: -14.71
Symmetry: Im-3m
DOS at the Fermi energy, states/eV/cell: 20.85

---

Record 12
Compound: PmPr2UO8
Source: Alexandria
Functional: GGA-PBE
Structure: optimized geometry

a b c (Å): 3.967 5.580 7.737
angles (deg): 90.00 90.00 89.98
Site moments in Bohr magnetons follow the coordinates.
Fractional coordinates of all 12 atoms:
O: 0.500 0.780 0.000  0.08
O: 0.000 0.767 0.780  0.04
O: 0.000 0.233 0.780  0.04
O: 0.500 0.248 0.500  0.06
O: 0.500 0.752 0.500  0.06
O: 0.500 0.220 0.000  0.08
O: 0.000 0.767 0.220  0.04
O: 0.000 0.233 0.220  0.04
Pm: 0.000 0.000 0.500  0.00
U: 0.000 0.000 0.000  -0.04
Pr: 0.500 0.500 0.248  0.00
Pr: 0.500 0.500 0.752  0.00

Output
ρ, g/cm3: 7.688
Raw total energy, eV for the cell shown: -103.239
Total moment, μB/atom: 0.039
Energy relative to the elements, uncorrected, eV per formula unit: -37.98
Symmetry: Pmmm
DOS at the Fermi energy, states/eV/cell: 8.90